1.
A plane-wave DFT calculation with PBE-GGA was carried out for a relaxed Er5InCu4 crystal.

Output
Energy of formation from the pure elements ... -3.1 eV per formula unit
Crystal system ... tetragonal

a = 3.4343 Å, b = 3.4343 Å, c = 18.1652 Å
α = 90.00°, β = 90.00°, γ = 90.00°
Space group P4/mmm (No. 123)
Unique sites:
Er: 0.0000 0.0000 0.0000 x1
Er: 0.0000 0.0000 0.1899 x2
Er: 0.0000 0.0000 0.3796 x2
In: 0.5000 0.5000 0.5000 x1
Cu: 0.5000 0.5000 0.0950 x2
Cu: 0.5000 0.5000 0.2859 x2



2.
A plane-wave DFT calculation with PBE-GGA was carried out for a relaxed SrZr2TiPd crystal.

Output
Energy of formation from the pure elements ... 2.0 eV per formula unit
Crystal system ... tetragonal

a = 5.0401 Å, b = 5.0401 Å, c = 5.0299 Å
α = 90.00°, β = 90.00°, γ = 90.00°
Space group P4/mmm (No. 123)
Unique sites:
Sr: 0.0000 0.0000 0.0000 x1
Zr: 0.0000 0.5000 0.5000 x2
Ti: 0.5000 0.5000 0.5000 x1
Pd: 0.5000 0.5000 0.0000 x1



3.
A plane-wave DFT calculation with PBE-GGA was carried out for a relaxed NbV3Re3 crystal.

Output
Energy of formation from the pure elements ... 0.1 eV per formula unit
Crystal system ... orthorhombic

a = 8.4311 Å, b = 8.7776 Å, c = 5.9777 Å
α = 90.00°, β = 90.00°, γ = 90.00°
Space group Cmmm (No. 65)
Unique sites:
Nb: 0.2007 0.0000 0.0000 x4
V: 0.0000 0.2318 0.5000 x4
V: 0.0000 0.2704 0.0000 x4
V: 0.2463 0.5000 0.5000 x4
Re: 0.0000 0.5000 0.2538 x4
Re: 0.2500 0.2500 0.2551 x8



4.
A plane-wave DFT calculation with PBE-GGA was carried out for a relaxed BAsIr3 crystal.

Output
Energy of formation from the pure elements ... 1.5 eV per formula unit
Crystal system ... cubic

a = 4.1661 Å, b = 4.1661 Å, c = 4.1661 Å
α = 90.00°, β = 90.00°, γ = 90.00°
Space group Pm-3m (No. 221)
Unique sites:
B: 0.0000 0.0000 0.0000 x1
As: 0.5000 0.5000 0.5000 x1
Ir: 0.0000 0.0000 0.5000 x3



5.
A plane-wave DFT calculation with PBE-GGA was carried out for a relaxed Mg3In2Hg8 crystal.

Output
Energy of formation from the pure elements ... -0.7 eV per formula unit
Crystal system ... monoclinic

a = 6.9964 Å, b = 3.6604 Å, c = 12.6563 Å
α = 90.00°, β = 101.19°, γ = 90.00°
Space group P2/m (No. 10)
Unique sites:
Mg: 0.0000 0.0000 0.0000 x1
Mg: 0.1360 0.5000 0.2328 x2
In: 0.2017 0.0000 0.7059 x2
Hg: 0.1868 0.0000 0.4432 x2
Hg: 0.2660 0.5000 0.9163 x2
Hg: 0.3901 0.0000 0.1359 x2
Hg: 0.4820 0.5000 0.6206 x2



6.
A plane-wave DFT calculation with PBE-GGA was carried out for a relaxed Rb2CrOsCl6 crystal.

Output
Formation energy without anion corrections ... -0.92 eV/atom
Crystal system ... tetragonal

a = 7.3781 Å, b = 7.3781 Å, c = 9.0939 Å
α = 90.00°, β = 90.00°, γ = 90.00°
Space group I4/mmm (No. 139)
Unique sites:
Rb: 0.0000 0.5000 0.2500 x4
Cr: 0.0000 0.0000 0.0000 x2
Os: 0.0000 0.0000 0.5000 x2
Cl: 0.0000 0.0000 0.2475 x4
Cl: 0.2346 0.2346 0.5000 x8



7.
A plane-wave DFT calculation with PBE-GGA was carried out for a relaxed Be2ReIr crystal.

Output
Energy of formation from the pure elements ... -0.5 eV per formula unit
Crystal system ... cubic

a = 5.6455 Å, b = 5.6455 Å, c = 5.6455 Å
α = 90.00°, β = 90.00°, γ = 90.00°
Space group Fm-3m (No. 225)
Unique sites:
Be: 0.2500 0.2500 0.2500 x8
Re: 0.0000 0.0000 0.0000 x4
Ir: 0.0000 0.0000 0.5000 x4



8.
A plane-wave DFT calculation with PBE-GGA was carried out for a relaxed Ce3ErPa2N6 crystal.

Output
Formation energy without anion corrections ... -1.63 eV/atom
Crystal system ... monoclinic

a = 6.0855 Å, b = 10.5385 Å, c = 6.1409 Å
α = 90.00°, β = 109.31°, γ = 90.00°
Space group C2/m (No. 12)
Unique sites:
Ce: 0.0000 0.0000 0.0000 x2
Ce: 0.0000 0.3344 0.0000 x4
Er: 0.0000 0.5000 0.5000 x2
Pa: 0.0000 0.1668 0.5000 x4
N: 0.2361 0.0000 0.7261 x4
N: 0.2450 0.3302 0.7256 x8



9.
A plane-wave DFT calculation with PBE-GGA was carried out for a relaxed Sm2BiCl crystal.

Output
Formation energy without anion corrections ... -0.66 eV/atom
Crystal system ... trigonal

a = 3.5847 Å, b = 3.5847 Å, c = 32.1853 Å
α = 90.00°, β = 90.00°, γ = 120.00°
Space group R-3m (No. 166, hexagonal axes)
Unique sites:
Sm: 0.0000 0.0000 0.0977 x6
Bi: 0.0000 0.0000 0.0000 x3
Cl: 0.0000 0.0000 0.5000 x3



10.
A plane-wave DFT calculation with PBE-GGA was carried out for a relaxed LiHo3S4 crystal.

Output
Formation energy without anion corrections ... -1.95 eV/atom
Crystal system ... cubic

a = 5.4595 Å, b = 5.4595 Å, c = 5.4595 Å
α = 90.00°, β = 90.00°, γ = 90.00°
Space group Pm-3m (No. 221)
Unique sites:
Li: 0.0000 0.0000 0.0000 x1
Ho: 0.0000 0.5000 0.5000 x3
S: 0.0000 0.0000 0.5000 x3
S: 0.5000 0.5000 0.5000 x1



11.
A plane-wave DFT calculation with PBE-GGA was carried out for a relaxed KRb2Gd crystal.

Output
Energy of formation from the pure elements ... 1.7 eV per formula unit
Crystal system ... trigonal

a = 4.1372 Å, b = 4.1372 Å, c = 49.3733 Å
α = 90.00°, β = 90.00°, γ = 120.00°
Space group R-3m (No. 166, hexagonal axes)
Unique sites:
K: 0.0000 0.0000 0.0000 x3
Rb: 0.0000 0.0000 0.4198 x6
Gd: 0.0000 0.0000 0.5000 x3



12.
A plane-wave DFT calculation with PBE-GGA was carried out for a relaxed LaOsS2Cl crystal.

Output
Formation energy without anion corrections ... 0.53 eV/atom
Crystal system ... tetragonal

a = 5.5613 Å, b = 5.5613 Å, c = 5.4217 Å
α = 90.00°, β = 90.00°, γ = 90.00°
Space group P4/mmm (No. 123)
Unique sites:
La: 0.0000 0.0000 0.0000 x1
Os: 0.5000 0.5000 0.5000 x1
S: 0.0000 0.5000 0.0000 x2
Cl: 0.0000 0.0000 0.5000 x1